NaLiHoSn: relaxed, PBE.

Summary:
The formation energy from the elements is -24.1 kJ per mole of atoms.

Unit cell a=5.192 b=5.192 c=5.192 alpha=60.00 beta=60.00 gamma=60.00
Sites, in units of the cell vectors:
1 Na 0.000 0.000 0.000
2 Li 0.250 0.250 0.250
3 Ho 0.500 0.500 0.500
4 Sn 0.750 0.750 0.750

***

NaLiHo2Te4: relaxed, PBE.

Summary:
As for the formation energy from raw total energies: -1.289 eV per atom.

Unit cell a=7.579 b=4.378 c=7.736 alpha=90.00 beta=109.06 gamma=90.00
Sites, in units of the cell vectors:
1 Na 0.000 0.000 0.000
2 Li 0.500 0.500 0.000
3 Ho 0.000 0.500 0.500
4 Ho 0.500 0.000 0.500
5 Te 0.252 0.000 0.743
6 Te 0.257 0.500 0.260
7 Te 0.743 0.500 0.740
8 Te 0.748 0.000 0.257

***

NaLiHoTl: relaxed, PBE.

Summary:
The formation energy from the elements is -6.1 kJ per mole of atoms.

Unit cell a=5.210 b=5.210 c=5.210 alpha=60.00 beta=60.00 gamma=60.00
Sites, in units of the cell vectors:
1 Na 0.000 0.000 0.000
2 Li 0.250 0.250 0.250
3 Ho 0.500 0.500 0.500
4 Tl 0.750 0.750 0.750